1.
Entry from Alexandria: a relaxed structure of In2AgI (PBE).

Computed properties:
Crystal system: trigonal
ΔE_f (raw) (eV per formula unit): -0.15
Total moment (μB/f.u.): 0.00
Energy relative to the lowest polymorph listed for this composition (meV/atom): 0

Unit cell a=8.422 b=8.422 c=8.422 alpha=28.53 beta=28.53 gamma=28.53
Positions (direct):
In 0.000 0.000 0.000
In 0.199 0.199 0.199
Ag 0.600 0.600 0.600
I 0.430 0.430 0.430

---

2.
Entry from Alexandria: a relaxed structure of Te2SI (PBE).

Computed properties:
Crystal system: tetragonal
ΔE_f (raw) (eV per formula unit): 1.48
Total moment (μB/f.u.): 0.00
Energy relative to the lowest polymorph listed for this composition (meV/atom): 45

Unit cell a=6.970 b=6.970 c=6.970 alpha=110.29 beta=110.29 gamma=107.85
Positions (direct):
Te 0.065 0.125 0.440
Te 0.375 0.935 0.060
Te 0.685 0.625 0.560
Te 0.875 0.315 0.940
S 0.000 0.000 0.000
S 0.750 0.250 0.500
I 0.250 0.750 0.500
I 0.500 0.500 0.000

---

3.
Entry from Alexandria: a relaxed structure of CrAg3Cl6 (PBE).

Computed properties:
Crystal system: monoclinic
ΔE_f (raw) (eV per formula unit): -6.76
Total moment (μB/f.u.): 2.99

Unit cell a=6.657 b=6.669 c=11.919 alpha=90.00 beta=122.45 gamma=90.00
Positions (direct):
Cr 0.000 0.000 0.000
Cr 0.000 0.500 0.500
Ag 0.255 0.047 0.758
Ag 0.255 0.453 0.258
Ag 0.500 0.000 0.500
Ag 0.500 0.500 0.000
Ag 0.745 0.547 0.742
Ag 0.745 0.953 0.242
Cl 0.074 0.201 0.421
Cl 0.074 0.299 0.921
Cl 0.251 0.670 0.447
Cl 0.251 0.830 0.947
Cl 0.331 0.078 0.217
Cl 0.331 0.422 0.717
Cl 0.669 0.578 0.283
Cl 0.669 0.922 0.783
Cl 0.749 0.170 0.053
Cl 0.749 0.330 0.553
Cl 0.926 0.701 0.079
Cl 0.926 0.799 0.579